DFT (PBE) results for an optimized crystal structure of TlHgB.

Lattice parameters (Å, degrees): 4.1160 6.1222 6.5722 113.79 90.17 109.42
Fractional coordinates of all 6 atoms:
Tl 0.1300 0.2562 0.4434
Tl 0.8700 0.7438 0.5566
Hg 0.3591 0.7147 0.0320
Hg 0.6409 0.2853 0.9680
B 0.0598 0.1230 0.9733
B 0.9402 0.8770 0.0267

**ΔH_f (0 K)**: 13.7 kcal/mol of atoms
**Spin magnetization**: 0.000 Bohr magnetons per cell

---

DFT (PBE) results for an optimized crystal structure of Pr3Si3Pt.

Lattice parameters (Å, degrees): 9.7104 9.7104 9.7104 155.63 153.96 35.97
Fractional coordinates of all 7 atoms:
Pr 0.0000 0.0000 0.0000
Pr 0.1855 0.6855 0.5000
Pr 0.3679 0.3679 0.0000
Si 0.5437 0.5437 0.0000
Si 0.7471 0.2471 0.5000
Si 0.8246 0.8246 0.0000
Pt 0.6185 0.1185 0.5000

**Raw total energy**: -6.101 eV per atom
**Spin magnetization**: 0.168 Bohr magnetons per cell

---

DFT (PBE) results for an optimized crystal structure of Ho2PaRh3.

Lattice parameters (Å, degrees): 7.3279 7.3279 6.9274 102.99 102.99 44.80
Fractional coordinates of all 12 atoms:
Ho 0.0750 0.2822 0.1403
Ho 0.2822 0.0750 0.6403
Ho 0.7178 0.9250 0.3597
Ho 0.9250 0.7178 0.8597
Pa 0.3920 0.6080 0.2500
Pa 0.6080 0.3920 0.7500
Rh 0.0699 0.9301 0.7500
Rh 0.2479 0.4552 0.4936
Rh 0.4552 0.2479 0.9936
Rh 0.5448 0.7521 0.0064
Rh 0.7521 0.5448 0.5064
Rh 0.9301 0.0699 0.2500

**ΔH_f (0 K)**: -18.8 kcal/mol of atoms
**Spin magnetization**: 0.000 Bohr magnetons per cell
**Energy above the most stable polymorph in this dataset**: 0 meV/atom

---

> Which formula does entry 2 have?

Pr3Si3Pt